# Cu2Pt3

Cu2Pt3 after structural relaxation (PBE, Alexandria).

a = 6.1754 Å, b = 6.1754 Å, c = 3.7587 Å
α = 90.00°, β = 90.00°, γ = 90.00°
Space group P4/m (No. 83)
Unique sites:
Cu: 0.0984 0.7023 0.0000 x4
Pt: 0.0000 0.0000 0.5000 x1
Pt: 0.1940 0.3985 0.5000 x4
Pt: 0.5000 0.5000 0.0000 x1

## Properties
The value obtained for the volume is 143.3 Å³ per cell. As for the energy relative to the lowest polymorph listed for this composition: 0.050 eV/atom. As for the size of the total moment: 0.0 μB per cell. Its density is 16.505 g/cm3. The calculation puts the formation energy from the elements at -0.117 eV/atom. The electronic total energy comes out at -5.38 eV per atom.